A relaxed CsHoTe2O8 crystal. Source: the Open Quantum Materials Database, functional GGA-PBE.

Values from the calculation:
Calculated density in g cm⁻³: 4.655
SG: P-3m1
Calculated total energy in eV/f.u.: -70.288

Cell lengths 5.954, 5.954, 7.913 Å; angles 90.00, 90.00, 120.00 degrees
Sites, in units of the cell vectors:
Cs1 0.000 0.000 0.000
Ho1 0.000 0.000 0.500
Te1 0.333 0.667 0.244
Te2 0.667 0.333 0.756
O1 0.168 0.336 0.328
O2 0.168 0.832 0.328
O3 0.333 0.667 0.014
O4 0.336 0.168 0.672
O5 0.664 0.832 0.328
O6 0.667 0.333 0.986
O7 0.832 0.168 0.672
O8 0.832 0.664 0.672

A relaxed GdMgNO crystal. Source: the Open Quantum Materials Database, functional GGA-PBE.

Values from the calculation:
Calculated density in g cm⁻³: 5.683
SG: Pmc2_1
Calculated total energy in eV/f.u.: -27.219

Cell lengths 3.583, 6.094, 5.663 Å; angles 90.00, 90.00, 90.00 degrees
Sites, in units of the cell vectors:
Gd1 0.000 0.181 0.000
Gd2 0.000 0.819 0.500
Mg1 0.500 0.345 0.501
Mg2 0.500 0.655 0.001
N1 0.500 0.345 0.860
N2 0.500 0.655 0.360
O1 0.000 0.179 0.401
O2 0.000 0.821 0.901

A relaxed BeGa2CuIr4 crystal. Source: the Open Quantum Materials Database, functional GGA-PBE.

Values from the calculation:
Calculated density in g cm⁻³: 15.409
SG: P4/mmm
Calculated total energy in eV/f.u.: -51.363

Cell lengths 4.196, 4.196, 6.003 Å; angles 90.00, 90.00, 90.00 degrees
Sites, in units of the cell vectors:
Be1 0.000 0.000 0.000
Ga1 0.000 0.000 0.500
Ga2 0.500 0.500 0.000
Cu1 0.500 0.500 0.500
Ir1 0.000 0.500 0.241
Ir2 0.000 0.500 0.759
Ir3 0.500 0.000 0.241
Ir4 0.500 0.000 0.759

A relaxed Dy3GaSn2PdPt2 crystal. Source: the Open Quantum Materials Database, functional GGA-PBE.

Values from the calculation:
Calculated density in g cm⁻³: 11.255
SG: Amm2
Calculated total energy in eV/f.u.: -51.566

Cell lengths 3.813, 7.617, 7.617 Å; angles 120.56, 90.00, 90.00 degrees
Sites, in units of the cell vectors:
Dy1 0.000 0.000 0.000
Dy2 0.000 0.174 0.571
Dy3 0.000 0.571 0.174
Ga1 0.500 0.317 0.317
Sn1 0.500 0.580 0.839
Sn2 0.500 0.839 0.580
Pd1 0.000 0.569 0.569
Pt1 0.500 0.248 0.920
Pt2 0.500 0.920 0.248

What did the third record say?
A relaxed BeGa2CuIr4 crystal. Source: the Open Quantum Materials Database, functional GGA-PBE.

Values from the calculation:
Calculated density in g cm⁻³: 15.409
SG: P4/mmm
Calculated total energy in eV/f.u.: -51.363

Cell lengths 4.196, 4.196, 6.003 Å; angles 90.00, 90.00, 90.00 degrees
Sites, in units of the cell vectors:
Be1 0.000 0.000 0.000
Ga1 0.000 0.000 0.500
Ga2 0.500 0.500 0.000
Cu1 0.500 0.500 0.500
Ir1 0.000 0.500 0.241
Ir2 0.000 0.500 0.759
Ir3 0.500 0.000 0.241
Ir4 0.500 0.000 0.759

> Number 4 is which compound?

Dy3GaSn2PdPt2

> Among the records above, which one has the highest calculated density?

BeGa2CuIr4

Copy entry 3 word for word.
A relaxed BeGa2CuIr4 crystal. Source: the Open Quantum Materials Database, functional GGA-PBE.

Values from the calculation:
Calculated density in g cm⁻³: 15.409
SG: P4/mmm
Calculated total energy in eV/f.u.: -51.363

Cell lengths 4.196, 4.196, 6.003 Å; angles 90.00, 90.00, 90.00 degrees
Sites, in units of the cell vectors:
Be1 0.000 0.000 0.000
Ga1 0.000 0.000 0.500
Ga2 0.500 0.500 0.000
Cu1 0.500 0.500 0.500
Ir1 0.000 0.500 0.241
Ir2 0.000 0.500 0.759
Ir3 0.500 0.000 0.241
Ir4 0.500 0.000 0.759